[1]
Crystalline Tm4AsSe4 at its relaxed geometry, computed with PBE.

Calculated values
* uncorrected energy: -5.750 eV per atom
* D(E_F): 0.2816 states/eV per atom
* formation energy from raw total energies: -1.70 eV/atom

Structure (POSCAR):
```
Tm4AsSe4
1.0
6.3564 -2.8557 0.0000
6.3564 2.8557 0.0000
-6.3508 0.0000 6.3583
Tm As Se
4 1 4
Direct
0.0982 0.0982 0.3874
0.2892 0.2892 0.1910
0.7108 0.7108 0.8090
0.9018 0.9018 0.6126
0.0000 0.0000 0.0000
0.1974 0.1974 0.7953
0.4021 0.4021 0.5995
0.5979 0.5979 0.4005
0.8026 0.8026 0.2047
```

=====

[2]
Crystalline BeMo3Pd at its relaxed geometry, computed with PBE.

Calculated values
* uncorrected energy: -7.650 eV per atom
* ΔH_f (0 K): 3.164 eV/f.u.
* offset from the most stable computed form: 0.000 eV per formula unit
* D(E_F): 0.7981 states/eV per atom

Structure (POSCAR):
```
BeMo3Pd
1.0
4.2130 0.0000 0.0000
0.0000 4.2130 0.0000
0.0000 0.0000 4.2130
Be Mo Pd
1 3 1
Direct
0.0000 0.0000 0.0000
0.0000 0.0000 0.5000
0.0000 0.5000 0.0000
0.5000 0.0000 0.0000
0.5000 0.5000 0.5000
```

=====

[3]
Crystalline Y2PdAu at its relaxed geometry, computed with PBE.

Calculated values
* uncorrected energy: -6.252 eV per atom
* ΔH_f (0 K): -3.608 eV/f.u.
* D(E_F): 0.5168 states/eV per atom

Structure (POSCAR):
```
Y2PdAu
1.0
5.6712 0.0000 0.0000
0.0000 4.6634 0.0000
-2.5254 0.0000 7.1066
Y Pd Au
4 2 2
Direct
0.2194 0.2500 0.4319
0.2284 0.2500 0.9296
0.7716 0.7500 0.0704
0.7806 0.7500 0.5681
0.3302 0.7500 0.7068
0.6698 0.2500 0.2932
0.3279 0.7500 0.2086
0.6721 0.2500 0.7914
```

=====

[4]
Crystalline ZrAgAs3 at its relaxed geometry, computed with PBE.

Calculated values
* uncorrected energy: -4.385 eV per atom
* ΔH_f (0 K): 3.422 eV/f.u.
* offset from the most stable computed form: 1.686 eV per formula unit
* D(E_F): 0.7960 states/eV per atom

Structure (POSCAR):
```
ZrAgAs3
1.0
4.9099 0.0000 0.0000
0.0000 4.9099 0.0000
0.0000 0.0000 4.9099
Zr Ag As
1 1 3
Direct
0.0000 0.0000 0.0000
0.5000 0.5000 0.5000
0.0000 0.5000 0.5000
0.5000 0.0000 0.5000
0.5000 0.5000 0.0000
```

=====

[5]
Crystalline Gd2ZnRh at its relaxed geometry, computed with PBE.

Calculated values
* uncorrected energy: -9.627 eV per atom
* ΔH_f (0 K): -1.720 eV/f.u.
* offset from the most stable computed form: 0.565 eV per formula unit
* D(E_F): 0.6026 states/eV per atom

Structure (POSCAR):
```
Gd2ZnRh
1.0
1.9639 1.1338 7.6082
-1.9639 1.1338 7.6082
0.0000 -2.2677 7.6082
Gd Zn Rh
2 1 1
Direct
0.2382 0.2382 0.2382
0.7618 0.7618 0.7618
0.0000 0.0000 0.0000
0.5000 0.5000 0.5000
```

=====

[6]
Crystalline Pr3MgHg at its relaxed geometry, computed with PBE.

Calculated values
* uncorrected energy: -3.456 eV per atom
* ΔH_f (0 K): -1.043 eV/f.u.
* offset from the most stable computed form: 0.000 eV per formula unit
* D(E_F): 1.2262 states/eV per atom

Structure (POSCAR):
```
Pr3MgHg
1.0
2.7252 -10.3823 0.0000
2.7252 10.3823 0.0000
0.0000 0.0000 5.4392
Pr Mg Hg
6 2 2
Direct
0.0595 0.9405 0.7500
0.2497 0.7503 0.7500
0.4370 0.5630 0.7500
0.5630 0.4370 0.2500
0.7503 0.2497 0.2500
0.9405 0.0595 0.2500
0.1533 0.8467 0.2500
0.8467 0.1533 0.7500
0.3444 0.6556 0.2500
0.6556 0.3444 0.7500
```

=====

[7]
Crystalline NiPtS at its relaxed geometry, computed with PBE.

Calculated values
* uncorrected energy: -5.425 eV per atom
* offset from the most stable computed form: 0.200 eV per formula unit
* D(E_F): 0.6975 states/eV per atom
* formation energy from raw total energies: -0.11 eV/atom

Structure (POSCAR):
```
NiPtS
1.0
5.6419 0.0000 0.0000
-0.1224 5.8137 0.0000
-1.3279 -1.5496 5.5403
Ni Pt S
4 4 4
Direct
0.0000 0.0000 0.0000
0.0329 0.5595 0.7519
0.4668 0.3910 0.8758
0.5706 0.9882 0.5887
0.1477 0.1334 0.4704
0.3312 0.5466 0.4246
0.4194 0.8274 0.1334
0.8835 0.6606 0.1794
0.1457 0.3601 0.0231
0.6145 0.0763 0.9839
0.6660 0.3797 0.5996
0.9331 0.8617 0.5897
```

=====

[8]
Crystalline Tm2Th5Sc5 at its relaxed geometry, computed with PBE.

Calculated values
* uncorrected energy: -6.431 eV per atom
* ΔH_f (0 K): 0.533 eV/f.u.
* D(E_F): 1.5872 states/eV per atom

Structure (POSCAR):
```
Tm2Th5Sc5
1.0
7.2713 -2.4211 0.0000
7.2713 2.4211 0.0000
-4.8717 0.0000 9.7759
Tm Th Sc
2 5 5
Direct
0.0820 0.0820 0.2535
0.9180 0.9180 0.7465
0.0000 0.0000 0.5000
0.1660 0.1660 0.0006
0.2503 0.2503 0.7483
0.7497 0.7497 0.2517
0.8340 0.8340 0.9994
0.3321 0.3321 0.4965
0.4168 0.4168 0.2539
0.5000 0.5000 0.0000
0.5832 0.5832 0.7461
0.6679 0.6679 0.5035
```

=====

[9]
Crystalline Li6Ag2Pb at its relaxed geometry, computed with PBE.

Calculated values
* uncorrected energy: -2.538 eV per atom
* ΔH_f (0 K): -1.944 eV/f.u.
* offset from the most stable computed form: 0.000 eV per formula unit
* D(E_F): 0.2276 states/eV per atom

Structure (POSCAR):
```
Li6Ag2Pb
1.0
2.5352 -7.2228 0.0000
2.5352 7.2228 0.0000
-2.3148 0.0000 4.2857
Li Ag Pb
6 2 1
Direct
0.0025 0.6640 0.1742
0.1669 0.1669 0.3318
0.3360 0.9975 0.8258
0.6640 0.0025 0.1742
0.8331 0.8331 0.6682
0.9975 0.3360 0.8258
0.3301 0.6699 0.5000
0.6699 0.3301 0.5000
0.5000 0.5000 0.0000
```

=====

[10]
Crystalline ErTcAs2 at its relaxed geometry, computed with PBE.

Calculated values
* uncorrected energy: -5.823 eV per atom
* ΔH_f (0 K): 0.937 eV/f.u.
* offset from the most stable computed form: 2.889 eV per formula unit
* D(E_F): 0.9690 states/eV per atom

Structure (POSCAR):
```
ErTcAs2
1.0
1.5252 0.8806 9.7075
-1.5252 0.8806 9.7075
0.0000 -1.7611 9.7075
Er Tc As
1 1 2
Direct
0.0000 0.0000 0.0000
0.5000 0.5000 0.5000
0.4161 0.4161 0.4161
0.5839 0.5839 0.5839
```

=====

[11]
Crystalline Zr4Ti3Co2 at its relaxed geometry, computed with PBE.

Calculated values
* uncorrected energy: -8.155 eV per atom
* ΔH_f (0 K): -1.305 eV/f.u.
* D(E_F): 1.0915 states/eV per atom

Structure (POSCAR):
```
Zr4Ti3Co2
1.0
7.8835 -1.5525 0.0000
7.8835 1.5525 0.0000
-3.4335 0.0000 6.8709
Zr Ti Co
4 3 2
Direct
0.1107 0.1107 0.3759
0.2609 0.2609 0.8214
0.7391 0.7391 0.1786
0.8893 0.8893 0.6241
0.4259 0.4259 0.3102
0.5000 0.5000 0.0000
0.5741 0.5741 0.6898
0.1051 0.1051 0.9492
0.8949 0.8949 0.0508
```

=====

[12]
Crystalline Li2TePb at its relaxed geometry, computed with PBE.

Calculated values
* uncorrected energy: -3.154 eV per atom
* offset from the most stable computed form: 0.149 eV per formula unit
* D(E_F): 0.2966 states/eV per atom
* formation energy from raw total energies: -0.48 eV/atom

Structure (POSCAR):
```
Li2TePb
1.0
3.4207 -3.3871 0.0000
3.4207 3.3871 0.0000
-0.0292 0.0000 4.0152
Li Te Pb
2 1 1
Direct
0.0000 0.5000 0.0000
0.5000 0.0000 0.0000
0.0000 0.0000 0.5000
0.5000 0.5000 0.5000
```

=====

[13]
Crystalline Sm4Dy3Au4 at its relaxed geometry, computed with PBE.

Calculated values
* uncorrected energy: -4.698 eV per atom
* ΔH_f (0 K): -5.885 eV/f.u.
* D(E_F): 1.0247 states/eV per atom

Structure (POSCAR):
```
Sm4Dy3Au4
1.0
-1.8943 4.6128 8.6537
1.8943 -4.6128 8.6537
1.8943 4.6128 -8.6537
Sm Dy Au
4 3 4
Direct
0.0247 0.8387 0.1860
0.3472 0.1613 0.1860
0.6528 0.8387 0.8140
0.9753 0.1613 0.8140
0.0000 0.5000 0.5000
0.3984 0.3984 0.0000
0.6016 0.6016 0.0000
0.2584 0.7584 0.5000
0.3195 0.0000 0.3195
0.6805 0.0000 0.6805
0.7416 0.2416 0.5000
```

=====

[14]
Crystalline TaIn2IrW at its relaxed geometry, computed with PBE.

Calculated values
* uncorrected energy: -5.850 eV per atom
* ΔH_f (0 K): 9.893 eV/f.u.
* D(E_F): 0.8480 states/eV per atom

Structure (POSCAR):
```
TaIn2IrW
1.0
5.2004 0.0000 0.0000
0.0000 5.2004 0.0000
0.0000 0.0000 4.7072
Ta In Ir W
1 2 1 1
Direct
0.0000 0.0000 0.0000
0.0000 0.5000 0.0000
0.5000 0.0000 0.0000
0.5000 0.5000 0.5000
0.0000 0.0000 0.5000
```

=====

[15]
Crystalline Cu4As3Pb at its relaxed geometry, computed with PBE.

Calculated values
* uncorrected energy: -4.208 eV per atom
* ΔH_f (0 K): 0.376 eV/f.u.
* D(E_F): 0.3305 states/eV per atom

Structure (POSCAR):
```
Cu4As3Pb
1.0
4.2863 0.0000 0.0000
0.0000 4.2863 0.0000
0.0000 0.0000 7.7770
Cu As Pb
4 3 1
Direct
0.0000 0.5000 0.1760
0.0000 0.5000 0.8240
0.5000 0.0000 0.1760
0.5000 0.0000 0.8240
0.0000 0.0000 0.0000
0.5000 0.5000 0.3338
0.5000 0.5000 0.6662
0.0000 0.0000 0.5000
```

=====

[16]
Crystalline La7Er16Th6 at its relaxed geometry, computed with PBE.

Calculated values
* uncorrected energy: -5.001 eV per atom
* ΔH_f (0 K): 6.979 eV/f.u.
* D(E_F): 1.8523 states/eV per atom

Structure (POSCAR):
```
La7Er16Th6
1.0
0.0000 7.8559 7.8559
7.8559 0.0000 7.8559
7.8559 7.8559 0.0000
La Er Th
7 16 6
Direct
0.0000 0.0000 0.0000
0.0000 0.0000 0.5000
0.0000 0.5000 0.0000
0.0000 0.5000 0.5000
0.5000 0.0000 0.0000
0.5000 0.0000 0.5000
0.5000 0.5000 0.0000
0.1489 0.1489 0.1489
0.1489 0.1489 0.5533
0.1489 0.5533 0.1489
0.1632 0.6123 0.6123
0.3877 0.3877 0.3877
0.3877 0.3877 0.8368
0.3877 0.8368 0.3877
0.4467 0.8511 0.8511
0.5533 0.1489 0.1489
0.6123 0.1632 0.6123
0.6123 0.6123 0.1632
0.6123 0.6123 0.6123
0.8368 0.3877 0.3877
0.8511 0.4467 0.8511
0.8511 0.8511 0.4467
0.8511 0.8511 0.8511
0.2286 0.2286 0.7714
0.2286 0.7714 0.2286
0.2286 0.7714 0.7714
0.7714 0.2286 0.2286
0.7714 0.2286 0.7714
0.7714 0.7714 0.2286
```

=====

[17]
Crystalline Li3Mn at its relaxed geometry, computed with PBE.

Calculated values
* uncorrected energy: -3.463 eV per atom
* ΔH_f (0 K): 1.060 eV/f.u.
* D(E_F): 0.5913 states/eV per atom

Structure (POSCAR):
```
Li3Mn
1.0
4.8176 -1.3540 0.0000
4.8176 1.3540 0.0000
-0.6203 0.0000 5.0993
Li Mn
3 1
Direct
0.0000 0.0000 0.0000
0.2459 0.2459 0.7402
0.7541 0.7541 0.2598
0.5000 0.5000 0.5000
```

=====

[18]
Crystalline Ta3VS6 at its relaxed geometry, computed with PBE.

Calculated values
* uncorrected energy: -8.086 eV per atom
* offset from the most stable computed form: 0.000 eV per formula unit
* D(E_F): 0.0665 states/eV per atom
* formation energy from raw total energies: -1.14 eV/atom

Structure (POSCAR):
```
Ta3VS6
1.0
5.7725 0.0000 0.0000
-2.8863 4.9992 0.0000
0.0000 0.0000 12.2741
Ta V S
6 2 12
Direct
0.0000 0.0000 0.0000
0.0000 0.0000 0.5000
0.3333 0.6667 0.0020
0.3333 0.6667 0.4980
0.6667 0.3333 0.5020
0.6667 0.3333 0.9980
0.3333 0.6667 0.7500
0.6667 0.3333 0.2500
0.0021 0.3336 0.6284
0.0021 0.6685 0.8716
0.3315 0.3336 0.8716
0.3315 0.9979 0.6284
0.3336 0.0021 0.3716
0.3336 0.3315 0.1284
0.6664 0.6685 0.6284
0.6664 0.9979 0.8716
0.6685 0.0021 0.1284
0.6685 0.6664 0.3716
0.9979 0.3315 0.3716
0.9979 0.6664 0.1284
```

=====

[19]
Crystalline RbAl2Hg2 at its relaxed geometry, computed with PBE.

Calculated values
* uncorrected energy: -1.795 eV per atom
* ΔH_f (0 K): 0.082 eV/f.u.
* offset from the most stable computed form: 0.000 eV per formula unit
* D(E_F): 0.5124 states/eV per atom

Structure (POSCAR):
```
RbAl2Hg2
1.0
-2.3136 2.3136 6.2821
2.3136 -2.3136 6.2821
2.3136 2.3136 -6.2821
Rb Al Hg
1 2 2
Direct
0.0000 0.0000 0.0000
0.2500 0.7500 0.5000
0.7500 0.2500 0.5000
0.3738 0.3738 0.0000
0.6262 0.6262 0.0000
```

=====

[20]
Crystalline CsYBeP2 at its relaxed geometry, computed with PBE.

Calculated values
* uncorrected energy: -2.923 eV per atom
* ΔH_f (0 K): 7.248 eV/f.u.
* D(E_F): 0.5876 states/eV per atom

Structure (POSCAR):
```
CsYBeP2
1.0
5.3841 0.0000 0.0000
0.0000 5.3841 0.0000
0.0000 0.0000 4.6902
Cs Y Be P
1 1 1 2
Direct
0.0000 0.0000 0.0000
0.5000 0.5000 0.5000
0.0000 0.0000 0.5000
0.0000 0.5000 0.0000
0.5000 0.0000 0.0000
```